Material: ZrCl
Method: DFT, PBE-GGA
State: optimized geometry

## Properties
energy = -5.381 eV/atom
N(E_F) = 9.64 states/eV/cell

The structure in CIF format:
```
data_ZrCl
_symmetry_space_group_name_H-M 'F m -3 m'
_symmetry_Int_Tables_number 225
_symmetry_space_group_name_Hall '-F 4 2 3'
_cell_length_a 5.310
_cell_length_b 5.310
_cell_length_c 5.310
_cell_angle_alpha 90.00
_cell_angle_beta 90.00
_cell_angle_gamma 90.00
loop_
_atom_site_label
_atom_site_type_symbol
_atom_site_fract_x
_atom_site_fract_y
_atom_site_fract_z
Zr1 Zr 0.000 0.000 0.000
Cl1 Cl 0.000 0.000 0.500
```

Material: Ti2SiNi
Method: DFT, PBE-GGA
State: optimized geometry

## Properties
energy = -7.271 eV/atom
N(E_F) = 5.23 states/eV/cell

The structure in CIF format:
```
data_Ti2SiNi
_symmetry_space_group_name_H-M 'P 4/m m m'
_symmetry_Int_Tables_number 123
_symmetry_space_group_name_Hall '-P 4 2'
_cell_length_a 3.786
_cell_length_b 3.786
_cell_length_c 3.871
_cell_angle_alpha 90.00
_cell_angle_beta 90.00
_cell_angle_gamma 90.00
loop_
_atom_site_label
_atom_site_type_symbol
_atom_site_fract_x
_atom_site_fract_y
_atom_site_fract_z
Ti1 Ti 0.000 0.500 0.000
Si1 Si 0.000 0.000 0.500
Ni1 Ni 0.500 0.500 0.500
```

Material: NaGaHg2
Method: DFT, PBE-GGA
State: optimized geometry

## Properties
formation energy from the elements = -7.88 kJ per mole of atoms
energy = -1.319 eV/atom
N(E_F) = 5.67 states/eV/cell

The structure in CIF format:
```
data_NaGaHg2
_symmetry_space_group_name_H-M 'R 3 m'
_symmetry_Int_Tables_number 160
_symmetry_space_group_name_Hall 'R 3 -2"'
_cell_length_a 4.5469
_cell_length_b 4.5469
_cell_length_c 17.6555
_cell_angle_alpha 90.00
_cell_angle_beta 90.00
_cell_angle_gamma 120.00
loop_
_atom_site_label
_atom_site_type_symbol
_atom_site_fract_x
_atom_site_fract_y
_atom_site_fract_z
Na1 Na 0.0000 0.0000 0.0000
Ga1 Ga 0.0000 0.0000 0.1815
Hg1 Hg 0.0000 0.0000 0.5755
Hg2 Hg 0.0000 0.0000 0.7692
```

Material: Tl2InP
Method: DFT, PBE-GGA
State: optimized geometry

## Properties
formation energy from the elements = 26.91 kJ per mole of atoms
energy relative to the lowest polymorph listed for this composition = 175 meV/atom
energy = -2.941 eV/atom
N(E_F) = 4.47 states/eV/cell

The structure in CIF format:
```
data_Tl2InP
_symmetry_space_group_name_H-M 'F m -3 m'
_symmetry_Int_Tables_number 225
_symmetry_space_group_name_Hall '-F 4 2 3'
_cell_length_a 7.519
_cell_length_b 7.519
_cell_length_c 7.519
_cell_angle_alpha 90.00
_cell_angle_beta 90.00
_cell_angle_gamma 90.00
loop_
_atom_site_label
_atom_site_type_symbol
_atom_site_fract_x
_atom_site_fract_y
_atom_site_fract_z
Tl1 Tl 0.250 0.250 0.250
In1 In 0.000 0.000 0.000
P1 P 0.000 0.000 0.500
```

Material: FeSiHgBiPt
Method: DFT, PBE-GGA
State: optimized geometry

## Properties
energy relative to the lowest polymorph listed for this composition = 30 meV/atom
energy = -4.849 eV/atom
N(E_F) = 5.18 states/eV/cell

The structure in CIF format:
```
data_FeSiHgBiPt
_symmetry_space_group_name_H-M 'C 1 m 1'
_symmetry_Int_Tables_number 8
_cell_length_a 6.676
_cell_length_b 3.855
_cell_length_c 8.854
_cell_angle_alpha 90.00
_cell_angle_beta 90.09
_cell_angle_gamma 90.00
loop_
_symmetry_equiv_pos_as_xyz
'x,y,z'
'x,-y,z'
'x+1/2,y+1/2,z'
'x+1/2,-y+1/2,z'
loop_
_atom_site_label
_atom_site_type_symbol
_atom_site_fract_x
_atom_site_fract_y
_atom_site_fract_z
Fe1 Fe 0.000 0.000 0.000
Si1 Si 0.167 0.500 0.117
Hg1 Hg 0.334 0.000 0.503
Bi1 Bi 0.166 0.500 0.801
Pt1 Pt 0.334 0.000 0.194
```

Material: KInRu
Method: DFT, PBE-GGA
State: optimized geometry

## Properties
formation energy from the elements = 41.09 kJ per mole of atoms
energy relative to the lowest polymorph listed for this composition = 0 meV/atom
energy = -3.945 eV/atom
N(E_F) = 3.77 states/eV/cell

The structure in CIF format:
```
data_KInRu
_symmetry_space_group_name_H-M 'I m m 2'
_symmetry_Int_Tables_number 44
_cell_length_a 3.125
_cell_length_b 4.229
_cell_length_c 12.289
_cell_angle_alpha 90.00
_cell_angle_beta 90.00
_cell_angle_gamma 90.00
loop_
_symmetry_equiv_pos_as_xyz
'x,y,z'
'-x,-y,z'
'-x,y,z'
'x,-y,z'
'x+1/2,y+1/2,z+1/2'
'-x+1/2,-y+1/2,z+1/2'
'-x+1/2,y+1/2,z+1/2'
'x+1/2,-y+1/2,z+1/2'
loop_
_atom_site_label
_atom_site_type_symbol
_atom_site_fract_x
_atom_site_fract_y
_atom_site_fract_z
K1 K 0.000 0.000 0.000
In1 In 0.000 0.000 0.270
Ru1 Ru 0.000 0.000 0.728
```